# 1
First-principles (PBE-GGA) data for a geometry-optimized Rb3Pr3ScTe8 structure, as listed in the Alexandria database.

SG: No. 166
E_tot: -67.9 eV per cell
formation energy without anion corrections: -1.2816 eV per atom

Cell: 10.294 10.294 10.294 Å, 51.95 51.95 51.95°
Atoms (fractional coordinates):
Rb 0.000 0.500 0.500
Rb 0.500 0.000 0.500
Rb 0.500 0.500 0.000
Pr 0.000 0.000 0.500
Pr 0.000 0.500 0.000
Pr 0.500 0.000 0.000
Sc 0.500 0.500 0.500
Te 0.236 0.236 0.236
Te 0.253 0.722 0.722
Te 0.278 0.278 0.747
Te 0.278 0.747 0.278
Te 0.722 0.253 0.722
Te 0.722 0.722 0.253
Te 0.747 0.278 0.278
Te 0.764 0.764 0.764

# 2
First-principles (PBE-GGA) data for a geometry-optimized Pm3Zn2Ga structure, as listed in the Alexandria database.

SG: No. 164
E_tot: -22.2 eV per cell
energy of formation: -398 meV per atom

Cell: 5.183 5.183 6.352 Å, 90.00 90.00 120.00°
Atoms (fractional coordinates):
Pm 0.000 0.000 0.000
Pm 0.333 0.667 0.667
Pm 0.667 0.333 0.333
Zn 0.333 0.667 0.162
Zn 0.667 0.333 0.838
Ga 0.000 0.000 0.500

# 3
First-principles (PBE-GGA) data for a geometry-optimized Li3Np3CrN8 structure, as listed in the Alexandria database.

SG: No. 166
E_tot: -131.3 eV per cell
formation energy without anion corrections: -0.7027 eV per atom

Cell: 6.274 6.274 6.274 Å, 63.63 63.63 63.63°
Atoms (fractional coordinates):
Li 0.000 0.500 0.500
Li 0.500 0.000 0.500
Li 0.500 0.500 0.000
Np 0.000 0.000 0.500
Np 0.000 0.500 0.000
Np 0.500 0.000 0.000
Cr 0.500 0.500 0.500
N 0.240 0.240 0.240
N 0.240 0.729 0.729
N 0.271 0.271 0.760
N 0.271 0.760 0.271
N 0.729 0.240 0.729
N 0.729 0.729 0.240
N 0.760 0.271 0.271
N 0.760 0.760 0.760

# 4
First-principles (PBE-GGA) data for a geometry-optimized TbErCd structure, as listed in the Alexandria database.

SG: No. 8
E_tot: -20.9 eV per cell
energy of formation: -108 meV per atom

Cell: 14.101 14.101 3.503 Å, 90.05 90.05 14.14°
Atoms (fractional coordinates):
Tb 0.000 0.000 0.000
Tb 0.152 0.152 0.000
Er 0.304 0.304 0.999
Er 0.892 0.892 0.499
Cd 0.576 0.576 0.500
Cd 0.729 0.729 0.499

# 5
First-principles (PBE-GGA) data for a geometry-optimized NdHo2Co2 structure, as listed in the Alexandria database.

SG: No. 12
E_tot: -28.4 eV per cell
energy of formation: -58 meV per atom

Cell: 6.027 6.027 5.517 Å, 103.36 103.36 36.36°
Atoms (fractional coordinates):
Nd 0.000 0.000 0.000
Ho 0.350 0.350 0.417
Ho 0.650 0.650 0.583
Co 0.280 0.280 0.895
Co 0.720 0.720 0.105

# 6
First-principles (PBE-GGA) data for a geometry-optimized NaMgZrRe2 structure, as listed in the Alexandria database.

SG: No. 123
E_tot: -28.1 eV per cell
energy of formation: 1661 meV per atom

Cell: 4.772 4.772 4.252 Å, 90.00 90.00 90.00°
Atoms (fractional coordinates):
Na 0.000 0.000 0.000
Mg 0.000 0.000 0.500
Zr 0.500 0.500 0.000
Re 0.000 0.500 0.500
Re 0.500 0.000 0.500

# 7
First-principles (PBE-GGA) data for a geometry-optimized Li3TlPd5 structure, as listed in the Alexandria database.

SG: No. 140
E_tot: -72.3 eV per cell
energy of formation: -228 meV per atom

Cell: 8.894 8.894 8.894 Å, 141.03 141.03 56.29°
Atoms (fractional coordinates):
Li 0.120 0.620 0.740
Li 0.250 0.250 0.000
Li 0.380 0.120 0.500
Li 0.620 0.880 0.500
Li 0.750 0.750 0.000
Li 0.880 0.380 0.260
Tl 0.250 0.750 0.500
Tl 0.750 0.250 0.500
Pd 0.000 0.000 0.000
Pd 0.100 0.142 0.500
Pd 0.142 0.642 0.042
Pd 0.358 0.400 0.500
Pd 0.400 0.900 0.042
Pd 0.500 0.500 0.000
Pd 0.600 0.100 0.958
Pd 0.642 0.600 0.500
Pd 0.858 0.358 0.958
Pd 0.900 0.858 0.500

# 8
First-principles (PBE-GGA) data for a geometry-optimized Ac2NpAs4Rh3 structure, as listed in the Alexandria database.

SG: No. 115
E_tot: -69.9 eV per cell
energy of formation: -813 meV per atom

Cell: 4.428 4.428 11.097 Å, 90.00 90.00 90.00°
Atoms (fractional coordinates):
Ac 0.000 0.500 0.225
Ac 0.500 0.000 0.775
Np 0.000 0.000 0.500
As 0.000 0.000 0.000
As 0.000 0.500 0.664
As 0.500 0.000 0.336
As 0.500 0.500 0.000
Rh 0.000 0.500 0.894
Rh 0.500 0.000 0.106
Rh 0.500 0.500 0.500

# 9
First-principles (PBE-GGA) data for a geometry-optimized TlWBr2 structure, as listed in the Alexandria database.

SG: No. 47
E_tot: -15.0 eV per cell
formation energy without anion corrections: 0.9226 eV per atom

Cell: 3.324 4.852 6.044 Å, 90.00 90.00 90.00°
Atoms (fractional coordinates):
Tl 0.000 0.000 0.000
W 0.500 0.000 0.500
Br 0.000 0.500 0.500
Br 0.500 0.500 0.000

# 10
First-principles (PBE-GGA) data for a geometry-optimized CeThPd4 structure, as listed in the Alexandria database.

SG: No. 62
E_tot: -153.7 eV per cell
energy of formation: -717 meV per atom

Cell: 8.195 4.248 14.361 Å, 90.00 90.00 90.00°
Atoms (fractional coordinates):
Ce 0.218 0.250 0.043
Ce 0.282 0.750 0.543
Ce 0.718 0.250 0.457
Ce 0.782 0.750 0.957
Th 0.214 0.750 0.259
Th 0.286 0.250 0.759
Th 0.714 0.750 0.241
Th 0.786 0.250 0.741
Pd 0.014 0.250 0.885
Pd 0.025 0.250 0.582
Pd 0.042 0.750 0.732
Pd 0.232 0.250 0.402
Pd 0.268 0.750 0.902
Pd 0.458 0.250 0.232
Pd 0.475 0.750 0.082
Pd 0.486 0.750 0.385
Pd 0.514 0.250 0.615
Pd 0.525 0.250 0.918
Pd 0.542 0.750 0.768
Pd 0.732 0.250 0.098
Pd 0.768 0.750 0.598
Pd 0.958 0.250 0.268
Pd 0.975 0.750 0.418
Pd 0.986 0.750 0.115

# 11
First-principles (PBE-GGA) data for a geometry-optimized Y2CuP structure, as listed in the Alexandria database.

SG: No. 122
E_tot: -48.8 eV per cell
energy of formation: -490 meV per atom

Cell: 6.325 6.325 6.325 Å, 109.43 109.43 109.56°
Atoms (fractional coordinates):
Y 0.121 0.625 0.996
Y 0.375 0.371 0.496
Y 0.629 0.125 0.004
Y 0.875 0.879 0.504
Cu 0.250 0.750 0.500
Cu 0.500 0.500 0.000
P 0.000 0.000 0.000
P 0.750 0.250 0.500

# 12
First-principles (PBE-GGA) data for a geometry-optimized CaAgAs2 structure, as listed in the Alexandria database.

SG: No. 65
E_tot: -15.0 eV per cell
energy of formation: -213 meV per atom

Cell: 3.268 3.268 8.000 Å, 90.00 90.00 90.15°
Atoms (fractional coordinates):
Ca 0.000 0.000 0.000
Ag 0.000 0.000 0.500
As 0.500 0.500 0.264
As 0.500 0.500 0.736